i | Crystalline Sc4OsRu at its relaxed geometry, computed with PBE-GGA.

Cell lengths 3.224, 3.224, 11.617 Å; angles 90.00, 90.00, 90.00 degrees
Fractional positions:
1 Sc 0.500 0.500 0.868
2 Sc 0.000 0.000 0.367
3 Sc 0.000 0.000 0.633
4 Ru 0.000 0.000 0.000
5 Os 0.500 0.500 0.500
6 Sc 0.500 0.500 0.132

---

ii | Crystalline Sc4OsRu at its relaxed geometry, computed with PBE-GGA.

Cell lengths 4.488, 4.489, 6.346 Å; angles 89.97, 89.99, 90.00 degrees
Fractional positions:
1 Ru 0.501 0.497 0.998
2 Sc 0.001 0.497 0.249
3 Sc 0.501 0.998 0.748
4 Sc 0.501 0.997 0.249
5 Os 0.001 0.997 0.498
6 Sc 0.001 0.497 0.748

---

iii | Crystalline Sc4OsRu at its relaxed geometry, computed with PBE-GGA.

Cell lengths 5.374, 5.374, 5.374 Å; angles 60.00, 60.00, 60.00 degrees
Fractional positions:
1 Os 0.750 0.750 0.750
2 Ru 0.000 0.000 0.000
3 Sc 0.375 0.375 0.875
4 Sc 0.875 0.375 0.375
5 Sc 0.375 0.875 0.375
6 Sc 0.375 0.375 0.375

---

Which structure loses on stability? iii does.

---

i | Crystalline ScOsRu3 at its relaxed geometry, computed with PBE-GGA.

Cell lengths 4.460, 4.460, 4.460 Å; angles 90.00, 90.00, 90.00 degrees
Fractional positions:
1 Ru 0.000 0.000 0.500
2 Sc 0.000 0.000 0.000
3 Os 0.500 0.500 0.500
4 Ru 0.000 0.500 0.000
5 Ru 0.500 0.000 0.000

---

ii | Crystalline ScOsRu3 at its relaxed geometry, computed with PBE-GGA.

Cell lengths 4.669, 4.669, 4.669 Å; angles 90.00, 90.00, 90.00 degrees
Fractional positions:
1 Ru 0.500 0.000 0.000
2 Os 0.000 0.000 0.000
3 Ru 0.000 0.000 0.500
4 Ru 0.000 0.500 0.000
5 Sc 0.500 0.500 0.500

---

Which structure loses on stability? i does.

---

i | Crystalline OsRuSe2 at its relaxed geometry, computed with PBE-GGA.

Cell lengths 4.433, 4.433, 4.433 Å; angles 60.00, 60.00, 60.00 degrees
Fractional positions:
1 Se 0.750 0.750 0.750
2 Ru 0.000 0.000 0.000
3 Os 0.500 0.500 0.500
4 Se 0.250 0.250 0.250

---

ii | Crystalline OsRuSe2 at its relaxed geometry, computed with PBE-GGA.

Cell lengths 4.300, 4.300, 5.239 Å; angles 77.94, 77.94, 41.30 degrees
Fractional positions:
1 Se 0.001 0.001 0.000
2 Os 0.750 0.750 0.750
3 Ru 0.250 0.250 0.250
4 Se 0.499 0.499 0.500

---

Which structure loses on stability? i does.

---

i | Crystalline OsRu3Se at its relaxed geometry, computed with PBE-GGA.

Cell lengths 4.449, 4.449, 4.449 Å; angles 90.00, 90.00, 90.00 degrees
Fractional positions:
1 Os 0.500 0.500 0.500
2 Ru 0.500 0.000 0.000
3 Se 0.000 0.000 0.000
4 Ru 0.000 0.500 0.000
5 Ru 0.000 0.000 0.500

---

ii | Crystalline OsRu3Se at its relaxed geometry, computed with PBE-GGA.

Cell lengths 4.691, 4.691, 4.691 Å; angles 90.00, 90.00, 90.00 degrees
Fractional positions:
1 Ru 0.500 0.000 0.000
2 Ru 0.000 0.500 0.000
3 Os 0.000 0.000 0.000
4 Se 0.500 0.500 0.500
5 Ru 0.000 0.000 0.500

---

Which structure loses on stability? ii does.

---

i | Crystalline Os3RuSe at its relaxed geometry, computed with PBE-GGA.

Cell lengths 4.470, 4.470, 4.470 Å; angles 90.00, 90.00, 90.00 degrees
Fractional positions:
1 Se 0.000 0.000 0.000
2 Os 0.000 0.000 0.500
3 Os 0.500 0.000 0.000
4 Os 0.000 0.500 0.000
5 Ru 0.500 0.500 0.500

---

ii | Crystalline Os3RuSe at its relaxed geometry, computed with PBE-GGA.

Cell lengths 4.675, 4.675, 4.675 Å; angles 90.00, 90.00, 90.00 degrees
Fractional positions:
1 Ru 0.000 0.000 0.000
2 Se 0.500 0.500 0.500
3 Os 0.000 0.000 0.500
4 Os 0.500 0.000 0.000
5 Os 0.000 0.500 0.000

---

Which structure loses on stability? ii does.

---

i | Crystalline SiOsRu3 at its relaxed geometry, computed with PBE-GGA.

Cell lengths 4.289, 4.289, 4.289 Å; angles 90.00, 90.00, 90.00 degrees
Fractional positions:
1 Os 0.500 0.500 0.500
2 Ru 0.500 0.000 0.000
3 Ru 0.000 0.500 0.000
4 Si 0.000 0.000 0.000
5 Ru 0.000 0.000 0.500

---

ii | Crystalline SiOsRu3 at its relaxed geometry, computed with PBE-GGA.

Cell lengths 4.660, 4.660, 4.660 Å; angles 90.00, 90.00, 90.00 degrees
Fractional positions:
1 Ru 0.000 0.500 0.000
2 Os 0.000 0.000 0.000
3 Ru 0.500 0.000 0.000
4 Ru 0.000 0.000 0.500
5 Si 0.500 0.500 0.500

---

Which structure loses on stability? ii does.